Record 1
VASP calculation (GGA-PBE) on a geometry-optimized SrRuSe structure.

Cell: 4.9800 4.9800 4.9800 Å, 60.00 60.00 60.00°
Fractional coordinates of all 3 atoms:
Sr: 0.0000 0.0000 0.0000
Ru: 0.2500 0.2500 0.2500
Se: 0.7500 0.7500 0.7500

## Properties
* size of the total moment: 0.7524 μB per atom
* space group: F-43m (216)
* energy relative to the elements, uncorrected: 1.83 eV/f.u.
* raw total energy: -12.61 eV/cell
* excess energy over the best structure of this formula in the dataset: 1122 meV/atom



Record 2
VASP calculation (GGA-PBE) on a geometry-optimized AgMoIr2 structure.

Cell: 5.7656 5.7656 5.7656 Å, 103.06 103.06 123.24°
Fractional coordinates of all 8 atoms:
Ag: 0.0000 0.0000 0.0000
Ag: 0.7500 0.2500 0.5000
Mo: 0.2500 0.7500 0.5000
Mo: 0.5000 0.5000 0.0000
Ir: 0.1655 0.6250 0.0405
Ir: 0.3750 0.4155 0.5405
Ir: 0.5845 0.1250 0.9595
Ir: 0.8750 0.8345 0.4595

## Properties
* size of the total moment: 0.0000 μB per atom
* energy of formation from the pure elements: 574 meV/atom
* space group: I-42d (122)
* raw total energy: -58.22 eV/cell
* excess energy over the best structure of this formula in the dataset: 564 meV/atom



Record 3
VASP calculation (GGA-PBE) on a geometry-optimized CuHg2Mo structure.

Cell: 4.6819 4.6819 4.6819 Å, 60.00 60.00 60.00°
Fractional coordinates of all 4 atoms:
Cu: 0.0000 0.0000 0.0000
Hg: 0.2500 0.2500 0.2500
Hg: 0.5000 0.5000 0.5000
Mo: 0.7500 0.7500 0.7500

## Properties
* size of the total moment: 0.5636 μB per atom
* energy of formation from the pure elements: 706 meV/atom
* space group: F-43m (216)
* raw total energy: -12.71 eV/cell
* excess energy over the best structure of this formula in the dataset: 301 meV/atom



Record 4
VASP calculation (GGA-PBE) on a geometry-optimized MgHg2Br6 structure.

Cell: 10.4369 10.4369 7.1071 Å, 107.79 107.79 90.42°
Fractional coordinates of all 18 atoms:
Mg: 0.1937 0.8063 0.7500
Mg: 0.8063 0.1937 0.2500
Hg: 0.2019 0.3739 0.5884
Hg: 0.3739 0.2019 0.0884
Hg: 0.6261 0.7981 0.9116
Hg: 0.7981 0.6261 0.4116
Br: 0.0075 0.1982 0.5658
Br: 0.1587 0.6049 0.8593
Br: 0.1982 0.0075 0.0658
Br: 0.2786 0.4300 0.3031
Br: 0.3951 0.8413 0.6407
Br: 0.4300 0.2786 0.8031
Br: 0.5700 0.7214 0.1969
Br: 0.6049 0.1587 0.3593
Br: 0.7214 0.5700 0.6969
Br: 0.8018 0.9925 0.9342
Br: 0.8413 0.3951 0.1407
Br: 0.9925 0.8018 0.4342

## Properties
* size of the total moment: 0.0000 μB per atom
* space group: C2/c (15)
* energy relative to the elements, uncorrected: -6.80 eV/f.u.
* raw total energy: -38.07 eV/cell
* excess energy over the best structure of this formula in the dataset: 0 meV/atom



Record 5
VASP calculation (GGA-PBE) on a geometry-optimized KCa2Ag structure.

Cell: 7.3464 7.3464 6.3278 Å, 115.39 115.39 30.86°
Fractional coordinates of all 4 atoms:
K: 0.0000 0.0000 0.0000
Ca: 0.1916 0.1916 0.6916
Ca: 0.8084 0.8084 0.3084
Ag: 0.5000 0.5000 0.5000

## Properties
* size of the total moment: 0.0000 μB per atom
* energy of formation from the pure elements: 8 meV/atom
* space group: C2/m (12)
* raw total energy: -7.92 eV/cell
* excess energy over the best structure of this formula in the dataset: 92 meV/atom



Record 6
VASP calculation (GGA-PBE) on a geometry-optimized Mg2PIrPd structure.

Cell: 4.8036 4.8036 4.3378 Å, 90.00 90.00 90.00°
Fractional coordinates of all 5 atoms:
Mg: 0.0000 0.5000 0.0000
Mg: 0.5000 0.0000 0.0000
P: 0.0000 0.0000 0.5000
Ir: 0.5000 0.5000 0.5000
Pd: 0.0000 0.0000 0.0000

## Properties
* size of the total moment: 0.0000 μB per atom
* energy of formation from the pure elements: 439 meV/atom
* space group: P4/mmm (123)
* raw total energy: -20.46 eV/cell



Record 7
VASP calculation (GGA-PBE) on a geometry-optimized Ca2TiCdRe structure.

Cell: 5.5056 5.5056 5.1010 Å, 90.00 90.00 90.00°
Fractional coordinates of all 5 atoms:
Ca: 0.0000 0.5000 0.0000
Ca: 0.5000 0.0000 0.0000
Ti: 0.0000 0.0000 0.5000
Cd: 0.0000 0.0000 0.0000
Re: 0.5000 0.5000 0.5000

## Properties
* size of the total moment: 0.7752 μB per atom
* energy of formation from the pure elements: 1561 meV/atom
* space group: P4/mmm (123)
* raw total energy: -17.45 eV/cell



Record 8
VASP calculation (GGA-PBE) on a geometry-optimized RbCa2MnBi structure.

Cell: 6.2427 6.2427 5.5947 Å, 90.00 90.00 90.00°
Fractional coordinates of all 5 atoms:
Rb: 0.0000 0.0000 0.0000
Ca: 0.0000 0.5000 0.5000
Ca: 0.5000 0.0000 0.5000
Mn: 0.5000 0.5000 0.0000
Bi: 0.5000 0.5000 0.5000

## Properties
* size of the total moment: 0.7776 μB per atom
* energy of formation from the pure elements: 263 meV/atom
* space group: P4/mmm (123)
* raw total energy: -16.71 eV/cell



Record 9
VASP calculation (GGA-PBE) on a geometry-optimized EuScAlGa structure.

Cell: 5.0308 5.0308 5.0308 Å, 60.00 60.00 60.00°
Fractional coordinates of all 4 atoms:
Eu: 0.0000 0.0000 0.0000
Sc: 0.5000 0.5000 0.5000
Al: 0.2500 0.2500 0.2500
Ga: 0.7500 0.7500 0.7500

## Properties
* size of the total moment: 1.7311 μB per atom
* energy of formation from the pure elements: -359 meV/atom
* space group: F-43m (216)
* raw total energy: -24.81 eV/cell



Record 10
VASP calculation (GGA-PBE) on a geometry-optimized AcCe2PN5 structure.

Cell: 7.2934 7.2934 7.2934 Å, 124.79 124.79 81.89°
Fractional coordinates of all 18 atoms:
Ac: 0.2500 0.2500 0.0000
Ac: 0.7500 0.7500 0.0000
Ce: 0.1834 0.6834 0.8667
Ce: 0.3166 0.1834 0.5000
Ce: 0.6834 0.8166 0.5000
Ce: 0.8166 0.3166 0.1333
P: 0.2500 0.7500 0.5000
P: 0.7500 0.2500 0.5000
N: 0.0000 0.0000 0.0000
N: 0.0185 0.7858 0.5000
N: 0.2142 0.7142 0.2327
N: 0.2858 0.5185 0.5000
N: 0.4815 0.9815 0.7673
N: 0.5000 0.5000 0.0000
N: 0.5185 0.0185 0.2327
N: 0.7142 0.4815 0.5000
N: 0.7858 0.2858 0.7673
N: 0.9815 0.2142 0.5000

## Properties
* size of the total moment: 0.1179 μB per atom
* space group: I4/mcm (140)
* energy relative to the elements, uncorrected: -11.84 eV/f.u.
* raw total energy: -149.71 eV/cell



Record 11
VASP calculation (GGA-PBE) on a geometry-optimized Hf4TlN structure.

Cell: 8.4481 5.0825 6.5664 Å, 90.00 111.26 90.00°
Fractional coordinates of all 12 atoms:
Hf: 0.1098 0.2483 0.3020
Hf: 0.1098 0.2517 0.8020
Hf: 0.2198 0.7408 0.1072
Hf: 0.2198 0.7592 0.6072
Hf: 0.7802 0.2408 0.3928
Hf: 0.7802 0.2592 0.8928
Hf: 0.8902 0.7483 0.1980
Hf: 0.8902 0.7517 0.6980
Tl: 0.5000 0.0000 0.0000
Tl: 0.5000 0.5000 0.5000
N: 0.0000 0.0000 0.0000
N: 0.0000 0.5000 0.5000

## Properties
* size of the total moment: 0.0000 μB per atom
* space group: P2_1/c (14)
* energy relative to the elements, uncorrected: -2.24 eV/f.u.
* raw total energy: -105.49 eV/cell



Record 12
VASP calculation (GGA-PBE) on a geometry-optimized NdNpPa2N6 structure.

Cell: 6.0611 6.0611 6.0611 Å, 59.57 59.57 59.57°
Fractional coordinates of all 10 atoms:
Nd: 0.0000 0.0000 0.0000
Np: 0.4786 0.4786 0.4786
Pa: 0.2615 0.2615 0.2615
Pa: 0.7683 0.7683 0.7683
N: 0.0876 0.6262 0.4070
N: 0.1645 0.5617 0.8681
N: 0.4070 0.0876 0.6262
N: 0.5617 0.8681 0.1645
N: 0.6262 0.4070 0.0876
N: 0.8681 0.1645 0.5617

## Properties
* size of the total moment: 0.2000 μB per atom
* space group: R3 (146)
* energy relative to the elements, uncorrected: -13.84 eV/f.u.
* raw total energy: -100.49 eV/cell



Calculated volume per entry: 29.1 17.6 18.1 38.8 39.2 20.0 30.9 43.6 22.5 14.0 21.9 15.6 Å³/atom